# 1
A plane-wave DFT calculation with PBE was carried out for LiErSbIr after structural relaxation.

POSCAR file:
```
LiErSbIr
1.0
0.000 3.313 3.313
3.313 0.000 3.313
3.313 3.313 0.000
Li Er Sb Ir
1 1 1 1
direct
0.000 0.000 0.000
0.250 0.250 0.250
0.750 0.750 0.750
0.500 0.500 0.500
```

Computed properties:
- Space group: No. 216
- E_form (uncorrected): -3.0 eV/f.u.

# 2
A plane-wave DFT calculation with PBE was carried out for Pm2Cd3Hg4 after structural relaxation.

POSCAR file:
```
Pm2Cd3Hg4
1.0
4.434 -2.558 0.000
4.434 2.558 0.000
-0.016 0.000 9.742
Pm Cd Hg
2 3 4
direct
0.167 0.167 0.216
0.833 0.833 0.784
0.166 0.166 0.566
0.500 0.500 0.000
0.834 0.834 0.434
0.167 0.167 0.893
0.499 0.499 0.658
0.501 0.501 0.342
0.833 0.833 0.107
```

Computed properties:
- E_form: -287 kJ/mol of formula units
- Space group: No. 12
- Polymorph energy (0 for the lowest one): 0.00 kJ/mol of atoms

# 3
A plane-wave DFT calculation with PBE was carried out for Al4ZnTc after structural relaxation.

POSCAR file:
```
Al4ZnTc
1.0
0.000 3.578 3.578
3.578 0.000 3.578
3.578 3.578 0.000
Al Zn Tc
4 1 1
direct
0.124 0.124 0.124
0.124 0.124 0.627
0.124 0.627 0.124
0.627 0.124 0.124
0.500 0.500 0.500
0.750 0.750 0.750
```

Computed properties:
- E_form: 19 kJ/mol of formula units
- Space group: No. 216
- Polymorph energy (0 for the lowest one): 22.08 kJ/mol of atoms

# 4
A plane-wave DFT calculation with PBE was carried out for Ce5CoGe2 after structural relaxation.

POSCAR file:
```
Ce5CoGe2
1.0
-3.528 3.528 3.816
3.528 -3.528 3.816
3.528 3.528 -3.816
Ce Co Ge
5 1 2
direct
0.000 0.000 0.000
0.429 0.429 0.493
0.429 0.935 0.000
0.935 0.429 0.000
0.935 0.935 0.507
0.598 0.598 0.000
0.438 0.938 0.500
0.938 0.438 0.500
```

Computed properties:
- E_form: -257 kJ/mol of formula units
- Space group: No. 107
- Polymorph energy (0 for the lowest one): 15.80 kJ/mol of atoms

# 5
A plane-wave DFT calculation with PBE was carried out for Zn2CuBr after structural relaxation.

POSCAR file:
```
Zn2CuBr
1.0
-1.731 1.944 5.855
1.731 -1.944 5.855
1.731 1.944 -5.855
Zn Cu Br
2 1 1
direct
0.238 0.238 0.000
0.762 0.762 0.000
0.000 0.500 0.500
0.500 0.000 0.500
```

Computed properties:
- Space group: No. 71
- Polymorph energy (0 for the lowest one): 23.83 kJ/mol of atoms
- E_form (uncorrected): 0.8 eV/f.u.

# 6
A plane-wave DFT calculation with PBE was carried out for Sm3Te6Au after structural relaxation.

POSCAR file:
```
Sm3Te6Au
1.0
6.237 -7.193 0.000
6.237 7.193 0.000
0.000 0.000 7.646
Sm Te Au
6 12 2
direct
0.094 0.906 0.500
0.211 0.400 0.634
0.400 0.211 0.134
0.600 0.789 0.634
0.789 0.600 0.134
0.906 0.094 0.000
0.047 0.587 0.381
0.106 0.204 0.314
0.204 0.106 0.814
0.324 0.676 0.856
0.413 0.953 0.381
0.475 0.525 0.338
0.525 0.475 0.838
0.587 0.047 0.881
0.676 0.324 0.356
0.796 0.894 0.314
0.894 0.796 0.814
0.953 0.413 0.881
0.271 0.729 0.206
0.729 0.271 0.706
```

Computed properties:
- Space group: No. 36
- E_form (uncorrected): -10.0 eV/f.u.

# 7
A plane-wave DFT calculation with PBE was carried out for TaNb2O8 after structural relaxation.

POSCAR file:
```
TaNb2O8
1.0
4.745 -3.185 0.000
4.745 3.185 0.000
-0.248 0.000 5.242
Ta Nb O
1 2 8
direct
0.000 0.000 0.000
0.366 0.366 0.315
0.634 0.634 0.685
0.126 0.680 0.188
0.165 0.165 0.253
0.320 0.874 0.812
0.398 0.398 0.664
0.602 0.602 0.336
0.680 0.126 0.188
0.835 0.835 0.747
0.874 0.320 0.812
```

Computed properties:
- Space group: No. 12
- E_form (uncorrected): -25.8 eV/f.u.

# 8
A plane-wave DFT calculation with PBE was carried out for ZrHg2 after structural relaxation.

POSCAR file:
```
ZrHg2
1.0
6.392 0.000 0.000
0.000 4.498 0.000
0.000 0.000 9.138
Zr Hg
4 8
direct
0.142 0.250 0.085
0.358 0.750 0.585
0.642 0.250 0.415
0.858 0.750 0.915
0.091 0.250 0.753
0.143 0.250 0.420
0.357 0.750 0.920
0.409 0.750 0.253
0.591 0.250 0.747
0.643 0.250 0.080
0.857 0.750 0.580
0.909 0.750 0.247
```

Computed properties:
- E_form: -22 kJ/mol of formula units
- Space group: No. 62

# 9
A plane-wave DFT calculation with PBE was carried out for Mn2HIrPt after structural relaxation.

POSCAR file:
```
Mn2HIrPt
1.0
4.163 0.000 0.000
0.000 4.163 0.000
0.000 0.000 3.575
Mn H Ir Pt
2 1 1 1
direct
0.000 0.500 0.000
0.500 0.000 0.000
0.000 0.000 0.000
0.000 0.000 0.500
0.500 0.500 0.500
```

Computed properties:
- Space group: No. 123
- Polymorph energy (0 for the lowest one): 0.00 kJ/mol of atoms

# 10
A plane-wave DFT calculation with PBE was carried out for ErTmSb after structural relaxation.

POSCAR file:
```
ErTmSb
1.0
2.923 -4.961 0.000
2.923 4.961 0.000
-2.917 0.000 5.483
Er Tm Sb
2 2 2
direct
0.047 0.953 0.750
0.953 0.047 0.250
0.297 0.703 0.250
0.703 0.297 0.750
0.375 0.625 0.750
0.625 0.375 0.250
```

Computed properties:
- Space group: No. 15
- E_form (uncorrected): -1.9 eV/f.u.

# 11
A plane-wave DFT calculation with PBE was carried out for Pr3AlIr2 after structural relaxation.

POSCAR file:
```
Pr3AlIr2
1.0
5.174 0.000 0.000
0.000 9.063 0.000
-0.986 0.000 6.819
Pr Al Ir
6 2 4
direct
0.069 0.250 0.265
0.421 0.032 0.746
0.421 0.468 0.746
0.579 0.532 0.254
0.579 0.968 0.254
0.931 0.750 0.735
0.079 0.750 0.196
0.921 0.250 0.804
0.000 0.000 0.000
0.000 0.500 0.000
0.388 0.750 0.516
0.612 0.250 0.484
```

Computed properties:
- E_form: -334 kJ/mol of formula units
- Space group: No. 11

# 12
A plane-wave DFT calculation with PBE was carried out for SrZrS3 after structural relaxation.

POSCAR file:
```
SrZrS3
1.0
7.125 -2.375 0.000
7.125 2.375 0.000
-0.651 0.000 8.020
Sr Zr S
2 2 6
direct
0.139 0.139 0.360
0.861 0.861 0.640
0.374 0.374 0.093
0.626 0.626 0.907
0.181 0.181 0.982
0.342 0.342 0.392
0.453 0.453 0.808
0.547 0.547 0.192
0.658 0.658 0.608
0.819 0.819 0.018
```

Computed properties:
- Space group: No. 12
- Polymorph energy (0 for the lowest one): 9.42 kJ/mol of atoms
- E_form (uncorrected): -8.4 eV/f.u.

# 13
A plane-wave DFT calculation with PBE was carried out for Bi2SbPb after structural relaxation.

POSCAR file:
```
Bi2SbPb
1.0
-3.459 3.459 7.672
3.459 -3.459 7.672
3.459 3.459 -7.672
Bi Sb Pb
4 2 2
direct
0.111 0.625 0.986
0.375 0.361 0.486
0.639 0.125 0.014
0.875 0.889 0.514
0.000 0.000 0.000
0.750 0.250 0.500
0.250 0.750 0.500
0.500 0.500 0.000
```

Computed properties:
- Space group: No. 122
- Polymorph energy (0 for the lowest one): 16.86 kJ/mol of atoms
- E_form (uncorrected): 1.0 eV/f.u.

# 14
A plane-wave DFT calculation with PBE was carried out for Cd4InPb7 after structural relaxation.

POSCAR file:
```
Cd4InPb7
1.0
7.108 -2.878 0.000
7.108 2.878 0.000
-6.705 0.000 9.089
Cd In Pb
4 1 7
direct
0.064 0.064 0.272
0.209 0.209 0.830
0.791 0.791 0.170
0.936 0.936 0.728
0.500 0.500 0.500
0.000 0.000 0.500
0.155 0.155 0.083
0.284 0.284 0.615
0.422 0.422 0.156
0.578 0.578 0.844
0.716 0.716 0.385
0.845 0.845 0.917
```

Computed properties:
- E_form: 134 kJ/mol of formula units
- Space group: No. 12

# 15
A plane-wave DFT calculation with PBE was carried out for Sr3Ac3ScO8 after structural relaxation.

POSCAR file:
```
Sr3Ac3ScO8
1.0
3.646 2.105 6.045
-3.646 2.105 6.045
0.000 -4.210 6.045
Sr Ac Sc O
3 3 1 8
direct
0.000 0.500 0.500
0.500 0.000 0.500
0.500 0.500 0.000
0.000 0.000 0.500
0.000 0.500 0.000
0.500 0.000 0.000
0.500 0.500 0.500
0.255 0.255 0.255
0.284 0.713 0.713
0.287 0.287 0.716
0.287 0.716 0.287
0.713 0.284 0.713
0.713 0.713 0.284
0.716 0.287 0.287
0.745 0.745 0.745
```

Computed properties:
- Space group: No. 166
- E_form (uncorrected): -42.6 eV/f.u.

# 16
A plane-wave DFT calculation with PBE was carried out for ZrTaTlPd2 after structural relaxation.

POSCAR file:
```
ZrTaTlPd2
1.0
4.941 0.000 0.000
0.000 4.941 0.000
0.000 0.000 5.106
Zr Ta Tl Pd
1 1 1 2
direct
0.000 0.000 0.000
0.000 0.000 0.500
0.500 0.500 0.500
0.000 0.500 0.000
0.500 0.000 0.000
```

Computed properties:
- E_form: 518 kJ/mol of formula units
- Space group: No. 123

# 17
A plane-wave DFT calculation with PBE was carried out for YTcTe2 after structural relaxation.

POSCAR file:
```
YTcTe2
1.0
5.342 -1.787 0.000
5.342 1.787 0.000
-1.428 0.000 5.041
Y Tc Te
1 1 2
direct
0.000 0.000 0.000
0.788 0.788 0.315
0.260 0.260 0.896
0.483 0.483 0.492
```

Computed properties:
- Space group: No. 8
- Polymorph energy (0 for the lowest one): 11.68 kJ/mol of atoms
- E_form (uncorrected): -1.3 eV/f.u.

# 18
A plane-wave DFT calculation with PBE was carried out for LiPrDy2In4 after structural relaxation.

POSCAR file:
```
LiPrDy2In4
1.0
2.626 1.516 8.842
-2.626 1.516 8.842
0.000 -3.032 8.842
Li Pr Dy In
1 1 2 4
direct
0.000 0.000 0.000
0.500 0.500 0.500
0.254 0.254 0.254
0.746 0.746 0.746
0.121 0.121 0.121
0.372 0.372 0.372
0.628 0.628 0.628
0.879 0.879 0.879
```

Computed properties:
- E_form: -319 kJ/mol of formula units
- Space group: No. 166

# 19
A plane-wave DFT calculation with PBE was carried out for Cr2NiGeN after structural relaxation.

POSCAR file:
```
Cr2NiGeN
1.0
3.851 0.000 0.000
0.000 3.851 0.000
0.000 0.000 3.813
Cr Ni Ge N
2 1 1 1
direct
0.000 0.500 0.000
0.500 0.000 0.000
0.000 0.000 0.500
0.500 0.500 0.500
0.000 0.000 0.000
```

Computed properties:
- Space group: No. 123
- E_form (uncorrected): -0.8 eV/f.u.

# 20
A plane-wave DFT calculation with PBE was carried out for Pu3PaSe4 after structural relaxation.

POSCAR file:
```
Pu3PaSe4
1.0
5.837 0.000 0.000
0.000 5.837 0.000
0.000 0.000 5.837
Pu Pa Se
3 1 4
direct
0.000 0.000 0.500
0.000 0.500 0.000
0.500 0.000 0.000
0.500 0.500 0.500
0.000 0.000 0.000
0.000 0.500 0.500
0.500 0.000 0.500
0.500 0.500 0.000
```

Computed properties:
- Space group: No. 221
- Polymorph energy (0 for the lowest one): 0.00 kJ/mol of atoms
- E_form (uncorrected): -11.5 eV/f.u.

no.,D(E_F) (states/eV per atom)
1,0.0719
2,0.3278
3,0.5005
4,1.6501
5,0.2236
6,0.0480
7,0.6679
8,0.6629
9,0.6333
10,1.3585
11,0.7541
12,0.0000
13,1.0228
14,0.3953
15,0.3386
16,0.7270
17,0.6298
18,0.5241
19,0.9124
20,3.6384